# 1
Below is a relaxed AcLa12Er7 crystal, with properties calculated at the GGA-PBE level.

Unit cell a=8.8879 b=8.8879 c=8.8879 alpha=89.10 beta=89.10 gamma=89.10
Closest atoms and distances in Å follow each position.
Sites, in units of the cell vectors:
Ac: 0.0000 0.0000 0.0000  6 La 3.70, 6 Er 3.71
La: 0.1432 0.4842 0.6202  4 La 3.18-3.38, 1 Er 3.33
La: 0.1457 0.7298 0.2853  3 La 3.18-3.38
La: 0.2702 0.7147 0.8543  3 La 3.18-3.38
La: 0.2853 0.1457 0.7298  3 La 3.18-3.38
La: 0.3798 0.8568 0.5158  4 La 3.18-3.38, 1 Er 3.33
La: 0.4842 0.6202 0.1432  4 La 3.18-3.38, 1 Er 3.33
La: 0.5158 0.3798 0.8568  4 La 3.18-3.38, 1 Er 3.33
La: 0.6202 0.1432 0.4842  4 La 3.18-3.38, 1 Er 3.33
La: 0.7147 0.8543 0.2702  3 La 3.18-3.38
La: 0.7298 0.2853 0.1457  3 La 3.18-3.38
La: 0.8543 0.2702 0.7147  3 La 3.18-3.38
La: 0.8568 0.5158 0.3798  4 La 3.18-3.38, 1 Er 3.33
Er: 0.0633 0.1470 0.3817  3 Er 3.52-3.56, 6 La 3.64-3.88, 1 Ac 3.71
Er: 0.1470 0.3817 0.0633  3 Er 3.52-3.56, 6 La 3.64-3.88, 1 Ac 3.71
Er: 0.3817 0.0633 0.1470  3 Er 3.52-3.56, 6 La 3.64-3.88, 1 Ac 3.71
Er: 0.5000 0.5000 0.5000  6 La 3.33
Er: 0.6183 0.9367 0.8530  3 Er 3.52-3.56, 6 La 3.64-3.88, 1 Ac 3.71
Er: 0.8530 0.6183 0.9367  3 Er 3.52-3.56, 6 La 3.64-3.88, 1 Ac 3.71
Er: 0.9367 0.8530 0.6183  3 Er 3.52-3.56, 6 La 3.64-3.88, 1 Ac 3.71

Summary:
As for the symmetry: No. 148. The density of states at the Fermi level is 1.70 states/eV/atom. For the calculated volume, the calculation gives 701.83 Å³/cell. The magnetization is 0.0 μB per cell. For the energy of formation, the calculation gives 0.19 eV per atom. Its energy above the most stable polymorph in this dataset is 0.0 meV/atom.


# 2
Below is a relaxed AcLa4Er2 crystal, with properties calculated at the GGA-PBE level.

Unit cell a=6.7605 b=8.7974 c=9.2096 alpha=88.36 beta=82.17 gamma=70.81
Closest atoms and distances in Å follow each position.
Sites, in units of the cell vectors:
Ac: 0.0000 0.0000 0.0000  8 La 3.67-3.93, 3 Er 3.75-3.83, 2 Ac 3.86-3.99
Ac: 0.4312 0.1900 0.8699  3 Er 3.54-3.63, 4 La 3.73-3.83, 1 Ac 3.86
La: 0.0251 0.5542 0.0532  2 Er 3.36-3.72, 5 La 3.40-3.75, 1 Ac 3.73
La: 0.1468 0.2115 0.2939  3 Er 3.51-3.78, 5 La 3.63-3.93, 1 Ac 3.74
La: 0.1769 0.7511 0.3382  4 La 3.37-3.72, 5 Er 3.38-3.66
La: 0.4200 0.6214 0.8182  5 La 3.40-3.79, 3 Er 3.44-3.66, 1 Ac 3.79
La: 0.5931 0.3989 0.1568  3 Er 3.53-3.84, 7 La 3.62-3.94, 2 Ac 3.73-3.85
La: 0.7071 0.0484 0.3951  4 La 3.37-3.76, 4 Er 3.46-3.75
La: 0.8762 0.7800 0.7118  3 Er 3.49-3.90, 1 Ac 3.67, 5 La 3.72-3.79
La: 0.8883 0.3307 0.6982  1 La 3.42, 3 Er 3.52-3.61
Er: 0.2961 0.9637 0.6106  6 La 3.45-3.71, 2 Ac 3.54-3.83, 1 Er 3.62
Er: 0.3469 0.4111 0.5318  6 La 3.38-3.61, 1 Er 3.58, 1 Ac 3.63
Er: 0.5493 0.8420 0.1019  4 La 3.36-3.75, 1 Er 3.57, 3 Ac 3.61-3.75
Er: 0.7092 0.6262 0.4233  8 La 3.49-3.89, 3 Er 3.57-3.62

Summary:
As for the symmetry: No. 1. The density of states at the Fermi level is 1.60 states/eV/atom. For the calculated volume, the calculation gives 512.40 Å³/cell. The magnetization is 0.0 μB per cell. For the energy of formation, the calculation gives 0.07 eV per atom.


# 3
Below is a relaxed Ac3La5Er3 crystal, with properties calculated at the GGA-PBE level.

Unit cell a=9.5633 b=9.5633 c=6.1670 alpha=90.00 beta=90.00 gamma=120.00
Closest atoms and distances in Å follow each position.
Sites, in units of the cell vectors:
Ac: 0.0000 0.3451 0.0000  2 Er 3.32
Ac: 0.3451 0.0000 0.0000  2 Er 3.32
Ac: 0.6549 0.6549 0.0000  2 Er 3.32
La: 0.0000 0.6092 0.5000  2 La 2.95, 2 Er 3.24
La: 0.3333 0.6667 0.5000  3 La 2.95
La: 0.3908 0.3908 0.5000  2 La 2.95, 2 Er 3.24
La: 0.6092 0.0000 0.5000  2 La 2.95, 2 Er 3.24
La: 0.6667 0.3333 0.5000  3 La 2.95
Er: 0.0000 0.2152 0.5000  2 La 3.24, 2 Ac 3.32, 2 Er 3.56
Er: 0.2152 0.0000 0.5000  2 La 3.24, 2 Ac 3.32, 2 Er 3.56
Er: 0.7848 0.7848 0.5000  2 La 3.24, 2 Ac 3.32, 2 Er 3.56

Summary:
As for the symmetry: No. 189. The density of states at the Fermi level is 1.87 states/eV/atom. For the calculated volume, the calculation gives 488.45 Å³/cell. The magnetization is 0.0 μB per cell. For the energy of formation, the calculation gives 0.65 eV per atom.


# 4
Below is a relaxed Ac6La3Er2 crystal, with properties calculated at the GGA-PBE level.

Unit cell a=6.6620 b=8.5684 c=8.5892 alpha=107.26 beta=104.93 gamma=97.48
Closest atoms and distances in Å follow each position.
Sites, in units of the cell vectors:
Ac: 0.0529 0.4018 0.1808  2 Er 3.77-3.79, 5 La 3.78-3.91, 5 Ac 3.82-3.94
Ac: 0.1349 0.2293 0.5492  6 Ac 3.82-3.90, 4 La 3.83-3.92, 2 Er 3.85-3.90
Ac: 0.3227 0.8690 0.2646  3 Er 3.71-3.87, 3 La 3.77-3.97, 6 Ac 3.82-3.94
Ac: 0.6773 0.1310 0.7354  3 Er 3.71-3.87, 3 La 3.77-3.97, 6 Ac 3.82-3.94
Ac: 0.8651 0.7707 0.4508  6 Ac 3.82-3.90, 4 La 3.83-3.92, 2 Er 3.85-3.90
Ac: 0.9471 0.5982 0.8192  2 Er 3.77-3.79, 5 La 3.78-3.91, 5 Ac 3.82-3.94
La: 0.4071 0.6844 0.6435  8 Ac 3.77-3.97, 2 Er 3.78-3.79, 2 La 3.80-3.94
La: 0.5000 0.5000 0.0000  2 La 3.80, 8 Ac 3.81-3.91, 2 Er 3.84
La: 0.5929 0.3156 0.3565  8 Ac 3.77-3.97, 2 Er 3.78-3.79, 2 La 3.80-3.94
Er: 0.2311 0.0447 0.9131  7 Ac 3.71-3.90, 3 La 3.78-3.84, 2 Er 3.78-3.84
Er: 0.7689 0.9553 0.0869  7 Ac 3.71-3.90, 3 La 3.78-3.84, 2 Er 3.78-3.84

Summary:
As for the symmetry: No. 2. The density of states at the Fermi level is 1.82 states/eV/atom. For the calculated volume, the calculation gives 440.93 Å³/cell. The magnetization is 0.0 μB per cell. For the energy of formation, the calculation gives 0.05 eV per atom.


# 5
Below is a relaxed AcLa2Er crystal, with properties calculated at the GGA-PBE level.

Unit cell a=5.2921 b=5.2921 c=10.6173 alpha=90.00 beta=90.00 gamma=90.00
Closest atoms and distances in Å follow each position.
Sites, in units of the cell vectors:
Ac: 0.0000 0.0000 0.0000  4 Er 3.74, 8 La 3.75
Ac: 0.5000 0.5000 0.5000  4 Er 3.74, 8 La 3.75
La: 0.0000 0.5000 0.2500  4 La 3.74, 4 Ac 3.75, 4 Er 3.75
La: 0.0000 0.5000 0.7500  4 La 3.74, 4 Ac 3.75, 4 Er 3.75
La: 0.5000 0.0000 0.2500  4 La 3.74, 4 Ac 3.75, 4 Er 3.75
La: 0.5000 0.0000 0.7500  4 La 3.74, 4 Ac 3.75, 4 Er 3.75
Er: 0.0000 0.0000 0.5000  4 Ac 3.74, 8 La 3.75
Er: 0.5000 0.5000 0.0000  4 Ac 3.74, 8 La 3.75

Summary:
As for the symmetry: No. 139. The density of states at the Fermi level is 1.96 states/eV/atom. For the calculated volume, the calculation gives 297.35 Å³/cell. The magnetization is 0.0 μB per cell. For the energy of formation, the calculation gives 0.04 eV per atom. Its energy above the most stable polymorph in this dataset is 18.9 meV/atom.


# 6
Below is a relaxed Ac8La2Er3 crystal, with properties calculated at the GGA-PBE level.

Unit cell a=10.6709 b=10.6709 c=6.4762 alpha=99.47 beta=99.47 gamma=47.91
Closest atoms and distances in Å follow each position.
Sites, in units of the cell vectors:
Ac: 0.0338 0.0338 0.2670  2 Er 3.32, 1 La 3.39, 2 Ac 3.47-3.50
Ac: 0.0847 0.6296 0.2842  2 Er 3.71-3.73, 3 La 3.77-4.11, 6 Ac 3.83-4.08
Ac: 0.3286 0.3286 0.7699  3 Er 3.72-4.04, 2 La 3.92-4.13, 6 Ac 4.04-4.08
Ac: 0.3704 0.9153 0.7158  2 Er 3.71-3.73, 3 La 3.77-4.11, 6 Ac 3.83-4.08
Ac: 0.6296 0.0847 0.2842  2 Er 3.71-3.73, 3 La 3.77-4.11, 6 Ac 3.83-4.08
Ac: 0.6714 0.6714 0.2301  3 Er 3.72-4.04, 2 La 3.92-4.13, 6 Ac 4.04-4.08
Ac: 0.9153 0.3704 0.7158  2 Er 3.71-3.73, 3 La 3.77-4.11, 6 Ac 3.83-4.08
Ac: 0.9662 0.9662 0.7330  2 Er 3.32, 1 La 3.39, 2 Ac 3.47-3.50
La: 0.2044 0.2044 0.2228  3 Ac 3.39-3.77
La: 0.7956 0.7956 0.7772  3 Ac 3.39-3.77
Er: 0.3265 0.6735 0.0000  1 Er 3.01, 2 Ac 3.32
Er: 0.5000 0.5000 0.5000  4 Er 3.57, 4 Ac 3.73
Er: 0.6735 0.3265 0.0000  1 Er 3.01, 2 Ac 3.32

Summary:
As for the symmetry: No. 12. The density of states at the Fermi level is 1.53 states/eV/atom. For the calculated volume, the calculation gives 538.32 Å³/cell. The magnetization is 0.0 μB per cell. For the energy of formation, the calculation gives 0.19 eV per atom.


# 7
Below is a relaxed AcLa2Er crystal, with properties calculated at the GGA-PBE level.

Unit cell a=3.6700 b=3.6700 c=39.1610 alpha=90.00 beta=90.00 gamma=120.00
Closest atoms and distances in Å follow each position.
Sites, in units of the cell vectors:
Ac: 0.0000 0.0000 0.0000  2 La 3.62, 6 Ac 3.67
Ac: 0.3333 0.6667 0.6667  2 La 3.62, 6 Ac 3.67
Ac: 0.6667 0.3333 0.3333  2 La 3.62, 6 Ac 3.67
La: 0.0000 0.0000 0.0923  3 Er 3.60, 1 Ac 3.62, 6 La 3.67
La: 0.0000 0.0000 0.9077  3 Er 3.60, 1 Ac 3.62, 6 La 3.67
La: 0.3333 0.6667 0.5743  3 Er 3.60, 1 Ac 3.62, 6 La 3.67
La: 0.3333 0.6667 0.7590  3 Er 3.60, 1 Ac 3.62, 6 La 3.67
La: 0.6667 0.3333 0.2410  3 Er 3.60, 1 Ac 3.62, 6 La 3.67
La: 0.6667 0.3333 0.4257  3 Er 3.60, 1 Ac 3.62, 6 La 3.67
Er: 0.0000 0.0000 0.5000  6 La 3.60, 6 Er 3.67
Er: 0.3333 0.6667 0.1667  6 La 3.60, 6 Er 3.67
Er: 0.6667 0.3333 0.8333  6 La 3.60, 6 Er 3.67

Summary:
As for the symmetry: No. 166. The density of states at the Fermi level is 1.92 states/eV/atom. For the calculated volume, the calculation gives 456.79 Å³/cell. The magnetization is 0.0 μB per cell. For the energy of formation, the calculation gives 0.16 eV per atom. Its energy above the most stable polymorph in this dataset is 143.3 meV/atom.


# 8
Below is a relaxed NaAcLaEr crystal, with properties calculated at the GGA-PBE level.

Unit cell a=8.3782 b=8.3782 c=8.3782 alpha=90.00 beta=90.00 gamma=90.00
Closest atoms and distances in Å follow each position.
Sites, in units of the cell vectors:
Na: 0.0000 0.0000 0.0000  4 Ac 3.63, 4 La 3.63
Na: 0.0000 0.5000 0.5000  4 Ac 3.63, 4 La 3.63
Na: 0.5000 0.0000 0.5000  4 Ac 3.63, 4 La 3.63
Na: 0.5000 0.5000 0.0000  4 Ac 3.63, 4 La 3.63
Ac: 0.2500 0.2500 0.7500  4 Na 3.63, 4 Er 3.63
Ac: 0.2500 0.7500 0.2500  4 Na 3.63, 4 Er 3.63
Ac: 0.7500 0.2500 0.2500  4 Na 3.63, 4 Er 3.63
Ac: 0.7500 0.7500 0.7500  4 Na 3.63, 4 Er 3.63
La: 0.2500 0.2500 0.2500  4 Er 3.63, 4 Na 3.63
La: 0.2500 0.7500 0.7500  4 Er 3.63, 4 Na 3.63
La: 0.7500 0.2500 0.7500  4 Er 3.63, 4 Na 3.63
La: 0.7500 0.7500 0.2500  4 Er 3.63, 4 Na 3.63
Er: 0.0000 0.0000 0.5000  4 Ac 3.63, 4 La 3.63
Er: 0.0000 0.5000 0.0000  4 Ac 3.63, 4 La 3.63
Er: 0.5000 0.0000 0.0000  4 Ac 3.63, 4 La 3.63
Er: 0.5000 0.5000 0.5000  4 Ac 3.63, 4 La 3.63

Summary:
As for the symmetry: No. 216. The density of states at the Fermi level is 1.38 states/eV/atom. For the calculated volume, the calculation gives 588.11 Å³/cell. The magnetization is 0.0 μB per cell. For the energy of formation, the calculation gives 0.22 eV per atom.


Q: What is the formula in the third record?
A: Ac3La5Er3


Q: The highest energy of formation belongs to which entry?
A: Ac3La5Er3


Q: Among the records above, which one has the lowest energy of formation?
A: number 5